A plane-wave DFT calculation with GGA-PBE was carried out for a geometry-optimized Tb4Dy5Hg structure.

a = 3.5660 Å, b = 3.5660 Å, c = 24.0552 Å
α = 90.00°, β = 90.00°, γ = 90.00°
With the nearest neighbours (Å) after each atom.
Positions (direct):
Tb  0.0000  0.0000  0.1039  8 Dy 3.55-3.56, 4 Tb 3.57
Tb  0.0000  0.0000  0.3120  8 Dy 3.55-3.56, 4 Tb 3.57
Tb  0.0000  0.0000  0.6880  8 Dy 3.55-3.56, 4 Tb 3.57
Tb  0.0000  0.0000  0.8961  8 Dy 3.55-3.56, 4 Tb 3.57
Dy  0.5000  0.5000  0.0000  8 Tb 3.55, 4 Dy 3.57
Dy  0.5000  0.5000  0.2083  8 Tb 3.55-3.56, 4 Dy 3.57
Dy  0.5000  0.5000  0.4163  4 Hg 3.23, 4 Tb 3.56, 4 Dy 3.57
Dy  0.5000  0.5000  0.5837  4 Hg 3.23, 4 Tb 3.56, 4 Dy 3.57
Dy  0.5000  0.5000  0.7917  8 Tb 3.55-3.56, 4 Dy 3.57
Hg  0.0000  0.0000  0.5000  8 Dy 3.23, 4 Hg 3.57

Space group ... P4/mmm (123)
Mass density ... 9.0 Mg/m³
V ... 305.9 Å³/cell
D(E_F) ... 13.0 states/eV per cell
E ... -4.264 eV per atom